Entry from the Alexandria database: an optimized crystal structure of Ac2ErCd4In3 (PBE).

Cell lengths 4.730, 4.730, 12.828 Å; angles 90.00, 90.00, 90.00 degrees
Atoms (fractional coordinates):
1 Cd 0.000 0.000 0.000
2 Cd 0.500 0.000 0.649
3 Cd 0.000 0.500 0.351
4 Cd 0.500 0.500 0.000
5 Er 0.500 0.500 0.500
6 In 0.500 0.000 0.866
7 In 0.000 0.500 0.134
8 In 0.000 0.000 0.500
9 Ac 0.000 0.500 0.764
10 Ac 0.500 0.000 0.236

For the total energy, the calculation gives -2.78 eV per atom. The space group is No. 115. Its formation energy is -310 meV/atom.